The following is a DFT calculation (PBE-GGA) of a relaxed Sm3ErTm8 crystal.

Its energy is -4.236 eV/atom. The value obtained for the formation energy is 0.3052 eV per atom. For the calculated density, the calculation gives 8.1 Mg/m³. As for the space group: Immm.

a = 8.555 Å, b = 8.555 Å, c = 8.555 Å
α = 97.37°, β = 136.26°, γ = 98.58°
Atoms (fractional coordinates):
Er 0.000 0.000 0.000
Tm 0.169 0.919 0.751
Tm 0.006 0.754 0.252
Tm 0.502 0.754 0.748
Sm 0.000 0.500 0.500
Tm 0.831 0.582 0.751
Tm 0.498 0.246 0.252
Sm 0.500 0.247 0.747
Tm 0.994 0.246 0.748
Tm 0.169 0.418 0.249
Tm 0.831 0.081 0.249
Sm 0.500 0.753 0.253

---

The following is a DFT calculation (PBE-GGA) of a relaxed RbGaPb crystal.

Its energy is -2.669 eV/atom. The value obtained for the formation energy is -0.1019 eV per atom. For the calculated density, the calculation gives 6.2 Mg/m³. As for the space group: Pnma.

a = 8.954 Å, b = 5.218 Å, c = 8.344 Å
α = 90.00°, β = 90.00°, γ = 90.00°
Atoms (fractional coordinates):
Pb 0.165 0.750 0.906
Rb 0.509 0.750 0.168
Ga 0.335 0.750 0.592
Ga 0.165 0.250 0.092
Ga 0.665 0.250 0.408
Ga 0.835 0.750 0.908
Rb 0.009 0.750 0.332
Rb 0.991 0.250 0.668
Rb 0.491 0.250 0.832
Pb 0.835 0.250 0.094
Pb 0.665 0.750 0.594
Pb 0.335 0.250 0.406